# SrTe2Ir | the Alexandria database | GGA-PBEsol | relaxed
data_SrTe2Ir
_cell_length_a 4.260
_cell_length_b 4.260
_cell_length_c 7.121
_cell_angle_alpha 72.60
_cell_angle_beta 72.60
_cell_angle_gamma 60.00
_space_group_name_H-M_alt 'P 1'
_space_group_IT_number 1
_space_group_name_Hall 'P 1'
loop_
_atom_site_label
_atom_site_fract_x
_atom_site_fract_y
_atom_site_fract_z
Te1 0.726 0.726 0.821
Te2 0.274 0.274 0.179
Ir1 0.000 0.000 0.000
Sr1 0.500 0.500 0.500
# Energy relative to the lowest polymorph listed for this composition (meV per atom): 64
# Formation energy without anion corrections (eV/atom): -0.558